[1]
# KNb3Ga

An optimized crystal structure of KNb3Ga (PBE-GGA, Alexandria via LeMat-Bulk).

Summary:
E_tot (eV/atom): -5.4256
Calculated formation energy (eV per atom): 1.44
M_tot (μB/cell): 0.0
D(E_F) (states/eV/f.u.): 7.28

Structure (CIF):
```
data_KNb3Ga
_cell_length_a 4.983
_cell_length_b 4.983
_cell_length_c 4.983
_cell_angle_alpha 90.00
_cell_angle_beta 90.00
_cell_angle_gamma 90.00
_space_group_name_H-M_alt 'P m -3 m'
_space_group_IT_number 221
_space_group_name_Hall '-P 4 2 3'
loop_
_atom_site_label
_atom_site_type_symbol
_atom_site_fract_x
_atom_site_fract_y
_atom_site_fract_z
_atom_site_occupancy
K1 K 0.000 0.000 0.000 1
Nb1 Nb 0.000 0.500 0.500 1
Ga1 Ga 0.500 0.500 0.500 1
```

[2]
# K2NbGa

An optimized crystal structure of K2NbGa (PBE-GGA, Alexandria via LeMat-Bulk).

Summary:
E_tot (eV/atom): -2.8663
Calculated formation energy (eV per atom): 0.96
M_tot (μB/cell): 13.0
D(E_F) (states/eV/f.u.): 6.58

Structure (CIF):
```
data_K2NbGa
_cell_length_a 12.321
_cell_length_b 12.321
_cell_length_c 5.166
_cell_angle_alpha 90.00
_cell_angle_beta 90.00
_cell_angle_gamma 90.00
_space_group_name_H-M_alt 'I -4 2 d'
_space_group_IT_number 122
_space_group_name_Hall 'I -4 2bw'
loop_
_atom_site_label
_atom_site_type_symbol
_atom_site_fract_x
_atom_site_fract_y
_atom_site_fract_z
_atom_site_occupancy
K1 K 0.095 0.250 0.125 1
Nb1 Nb 0.000 0.000 0.500 1
Ga1 Ga 0.000 0.000 0.000 1
```

[3]
# K3NbGa

An optimized crystal structure of K3NbGa (PBE-GGA, Alexandria via LeMat-Bulk).

Summary:
E_tot (eV/atom): -2.0523
Calculated formation energy (eV per atom): 1.23
M_tot (μB/cell): 4.0
D(E_F) (states/eV/f.u.): 6.03

Structure (CIF):
```
data_K3NbGa
_cell_length_a 6.382
_cell_length_b 6.382
_cell_length_c 6.382
_cell_angle_alpha 90.00
_cell_angle_beta 90.00
_cell_angle_gamma 90.00
_space_group_name_H-M_alt 'P m -3 m'
_space_group_IT_number 221
_space_group_name_Hall '-P 4 2 3'
loop_
_atom_site_label
_atom_site_type_symbol
_atom_site_fract_x
_atom_site_fract_y
_atom_site_fract_z
_atom_site_occupancy
K1 K 0.000 0.000 0.500 1
Nb1 Nb 0.500 0.500 0.500 1
Ga1 Ga 0.000 0.000 0.000 1
```